# Ca2Cd (PBEsol, relaxed)
# magnetic moment: 0.00 μB per formula unit
# raw total energy: -2.0606 eV per atom
# formation enthalpy at 0 K: -0.7 eV/f.u.
data_Ca2Cd
_chemical_formula_sum 'Ca4 Cd2'
_cell_length_a 6.343
_cell_length_b 6.343
_cell_length_c 6.343
_cell_angle_alpha 105.33
_cell_angle_beta 105.33
_cell_angle_gamma 118.12
_space_group_name_H-M_alt 'P 1'
_space_group_IT_number 1
loop_
_space_group_symop_operation_xyz
'x,y,z'
loop_
_atom_site_label
_atom_site_type_symbol
_atom_site_fract_x
_atom_site_fract_y
_atom_site_fract_z
Ca1 Ca 0.170 0.670 0.840
Ca2 Ca 0.330 0.170 0.500
Ca3 Ca 0.670 0.830 0.500
Ca4 Ca 0.830 0.330 0.160
Cd1 Cd 0.250 0.250 0.000
Cd2 Cd 0.750 0.750 0.000